(1)
A relaxed ZrGaSeBr2 crystal. Source: Alexandria via LeMat-Bulk, functional PBE.

a b c (Å): 5.081 5.081 5.115
angles (deg): 90.00 90.00 90.00
Positions (direct):
Br 0.500 0.000 0.000
Ga 0.000 0.000 0.000
Se 0.000 0.000 0.500
Br 0.000 0.500 0.000
Zr 0.500 0.500 0.500

Computed properties:
Uncorrected energy, eV per atom: -3.588
Space group: P4/mmm (123)
V, Å³ per cell: 132.03
Formation energy (no corrections), meV per atom: 93
Offset from the most stable computed form, eV per atom: 0.811
Density of states at the Fermi level, states/eV/cell: 6.4
Crystal system: tetragonal

(2)
A relaxed Nd8ErMg2 crystal. Source: Alexandria via LeMat-Bulk, functional PBE.

a b c (Å): 5.830 9.004 9.145
angles (deg): 60.51 76.96 62.73
Positions (direct):
Mg 0.000 0.693 0.613
Nd 0.500 0.210 0.580
Nd 0.295 0.409 0.000
Nd 0.705 0.591 0.000
Mg 0.000 0.307 0.387
Nd 0.500 0.790 0.420
Nd 0.862 0.097 0.226
Er 0.500 0.000 0.000
Nd 0.138 0.903 0.774
Nd 0.862 0.323 0.774
Nd 0.138 0.677 0.226

Computed properties:
Energy of formation, eV/atom: 0.110
Uncorrected energy, eV per atom: -4.062
Space group: C2/m (12)
V, Å³ per cell: 371.45
Offset from the most stable computed form, eV per atom: 0.104
Density of states at the Fermi level, states/eV/cell: 13.6
Crystal system: monoclinic

(3)
A relaxed FeCu2Si crystal. Source: Alexandria via LeMat-Bulk, functional PBE.

a b c (Å): 8.232 8.232 8.232
angles (deg): 18.31 18.31 18.31
Positions (direct):
Cu 0.002 0.002 0.002
Cu 0.249 0.249 0.249
Fe 0.497 0.497 0.497
Si 0.752 0.752 0.752

Computed properties:
Uncorrected energy, eV per atom: -5.482
Space group: R3m (160)
V, Å³ per cell: 48.09
Formation energy (no corrections), meV per atom: 37
Density of states at the Fermi level, states/eV/cell: 1.9
Crystal system: trigonal

(4)
A relaxed GdFe3C crystal. Source: Alexandria via LeMat-Bulk, functional PBE.

a b c (Å): 3.956 3.956 3.956
angles (deg): 90.00 90.00 90.00
Positions (direct):
Fe 0.500 0.000 0.000
Fe 0.000 0.500 0.000
Fe 0.000 0.000 0.500
Gd 0.500 0.500 0.500
C 0.000 0.000 0.000

Computed properties:
Energy of formation, eV/atom: 0.041
Uncorrected energy, eV per atom: -9.698
Space group: Pm-3m (221)
V, Å³ per cell: 61.93
Density of states at the Fermi level, states/eV/cell: 6.0
Crystal system: cubic

(5)
A relaxed LaCdTe2 crystal. Source: Alexandria via LeMat-Bulk, functional PBE.

a b c (Å): 9.692 9.692 9.692
angles (deg): 27.80 27.80 27.80
Positions (direct):
Te 0.103 0.103 0.103
Cd 0.000 0.000 0.000
Te 0.897 0.897 0.897
La 0.500 0.500 0.500

Computed properties:
Uncorrected energy, eV per atom: -3.851
Space group: R-3m (166)
V, Å³ per cell: 174.83
Formation energy (no corrections), meV per atom: -820
Density of states at the Fermi level, states/eV/cell: 3.2
Crystal system: trigonal

(6)
A relaxed Nd3CuSe6 crystal. Source: Alexandria via LeMat-Bulk, functional PBE.

a b c (Å): 7.184 8.986 8.986
angles (deg): 99.03 90.00 90.00
Positions (direct):
Se 0.684 0.978 0.022
Nd 0.347 0.408 0.592
Nd 0.475 0.905 0.705
Se 0.705 0.905 0.434
Se 0.184 0.022 0.978
Se 0.727 0.161 0.839
Cu 0.054 0.209 0.791
Nd 0.975 0.705 0.905
Nd 0.847 0.592 0.408
Se 0.657 0.614 0.701
Cu 0.554 0.791 0.209
Se 0.227 0.839 0.161
Se 0.205 0.095 0.566
Se 0.205 0.434 0.905
Se 0.657 0.299 0.386
Nd 0.475 0.295 0.095
Se 0.705 0.566 0.095
Se 0.157 0.701 0.614
Nd 0.975 0.095 0.295
Se 0.157 0.386 0.299

Computed properties:
Uncorrected energy, eV per atom: -5.303
Space group: Cmc2_1 (36)
V, Å³ per cell: 572.87
Formation energy (no corrections), meV per atom: -1372
Crystal system: orthorhombic

(7)
A relaxed KBa crystal. Source: Alexandria via LeMat-Bulk, functional PBE.

a b c (Å): 8.319 8.319 8.275
angles (deg): 90.00 90.00 90.00
Positions (direct):
Ba 0.188 0.812 0.500
K 0.181 0.819 0.000
Ba 0.312 0.312 0.000
K 0.319 0.319 0.500
K 0.681 0.681 0.500
Ba 0.812 0.188 0.500
Ba 0.688 0.688 0.000
K 0.819 0.181 0.000

Computed properties:
Energy of formation, eV/atom: 0.319
Uncorrected energy, eV per atom: -1.191
Space group: P4_2/mnm (136)
V, Å³ per cell: 572.75
Density of states at the Fermi level, states/eV/cell: 14.3
Crystal system: tetragonal

(8)
A relaxed Pm2TcRhO8 crystal. Source: Alexandria via LeMat-Bulk, functional PBE.

a b c (Å): 4.863 4.816 6.768
angles (deg): 89.99 89.98 92.72
Positions (direct):
Rh 0.000 0.000 0.500
Pm 0.564 0.570 0.255
O 0.785 0.129 0.241
Pm 0.436 0.430 0.745
Tc 0.000 0.000 0.000
O 0.716 0.713 0.548
O 0.268 0.274 0.046
O 0.870 0.212 0.758
O 0.130 0.788 0.242
O 0.732 0.726 0.954
O 0.215 0.871 0.759
O 0.284 0.287 0.452

Computed properties:
Uncorrected energy, eV per atom: -7.472
Space group: P-1 (2)
V, Å³ per cell: 158.33
Formation energy (no corrections), meV per atom: -1899
Density of states at the Fermi level, states/eV/cell: 4.5
Crystal system: triclinic

(9)
A relaxed La3YH crystal. Source: Alexandria via LeMat-Bulk, functional PBE.

a b c (Å): 5.942 5.942 5.942
angles (deg): 90.00 90.00 90.00
Positions (direct):
Y 0.000 0.000 0.000
La 0.000 0.000 0.500
La 0.500 0.000 0.000
La 0.000 0.500 0.000
H 0.500 0.500 0.500

Computed properties:
Uncorrected energy, eV per atom: -3.850
Space group: Pm-3m (221)
V, Å³ per cell: 209.85
Offset from the most stable computed form, eV per atom: 1.232
Density of states at the Fermi level, states/eV/cell: 4.7
Crystal system: cubic